A geometry-optimized Ho4Mg5Cu2 structure, computed with PBE-GGA.

Values from the calculation:
- symmetry = No. 10
- calculated density (g cm⁻³) = 5.60
- total energy (eV/f.u.) = -35.63

Cell: 3.477 7.920 9.792 Å, 92.75 90.00 90.00°
Atoms (fractional coordinates):
Ho  0.500  0.838  0.144
Ho  0.500  0.162  0.856
Ho  0.500  0.778  0.549
Ho  0.500  0.222  0.451
Mg  0.000  0.188  0.158
Mg  0.000  0.450  0.684
Mg  0.000  0.500  0.000
Mg  0.000  0.812  0.842
Mg  0.000  0.550  0.316
Cu  0.000  0.943  0.366
Cu  0.000  0.057  0.634

=====

A geometry-optimized TlCd2Hg10 structure, computed with PBE-GGA.

Values from the calculation:
- symmetry = No. 69
- calculated density (g cm⁻³) = 11.29
- total energy (eV/f.u.) = -6.75

Cell: 6.255 8.087 8.288 Å, 81.61 67.83 67.25°
Atoms (fractional coordinates):
Hg  0.498  0.209  0.795
Hg  0.000  0.000  0.500
Hg  0.293  0.209  0.205
Hg  0.707  0.791  0.795
Hg  0.005  0.644  0.347
Hg  0.995  0.356  0.653
Hg  0.500  0.000  0.500
Hg  0.502  0.791  0.205
Hg  0.648  0.356  0.347
Hg  0.352  0.644  0.653
Cd  0.500  0.500  0.000
Cd  0.000  0.500  0.000
Tl  0.000  0.000  0.000

=====

| no. | energy of formation from the pure elements (eV per formula unit) |
| --- | --- |
| 1 | -1.2 |
| 2 | 0.5 |